1.
A relaxed structure of LaReN3, computed with PBE-GGA.

Space group: No. 2
Total energy (eV/cell): -91.64
Formation energy from raw total energies (meV/atom): -694

a = 7.086 Å, b = 5.743 Å, c = 4.234 Å
α = 90.48°, β = 88.05°, γ = 69.83°
Atoms (fractional coordinates):
N 0.206 0.523 0.450
N 0.158 0.199 0.960
N 0.669 0.534 0.923
N 0.392 0.917 0.436
N 0.903 0.252 0.400
N 0.854 0.928 0.909
La 0.757 0.749 0.411
La 0.303 0.703 0.948
Re 0.879 0.230 0.870
Re 0.182 0.221 0.490

---

2.
A relaxed structure of La2ReRhN, computed with PBE-GGA.

Space group: No. 123
Total energy (eV/cell): -32.47
Formation energy from raw total energies (meV/atom): 1101

a = 5.565 Å, b = 4.562 Å, c = 5.565 Å
α = 90.00°, β = 90.00°, γ = 90.00°
Atoms (fractional coordinates):
Re 0.000 0.500 0.000
Rh 0.000 0.000 0.000
La 0.000 0.000 0.500
La 0.500 0.000 0.000
N 0.500 0.500 0.500

---

3.
A relaxed structure of LaReSN2, computed with PBE-GGA.

Energy above the lowest structure with this stoichiometry (kJ/mol of atoms): 212.1
Space group: No. 123
Total energy (eV/cell): -30.31
Formation energy from raw total energies (meV/atom): 1568

a = 4.135 Å, b = 4.135 Å, c = 6.075 Å
α = 90.00°, β = 90.00°, γ = 90.00°
Atoms (fractional coordinates):
Re 0.500 0.500 0.500
N 0.500 0.000 0.000
N 0.000 0.500 0.000
S 0.000 0.000 0.500
La 0.000 0.000 0.000

---

Question: The highest formation energy from raw total energies belongs to which entry?
Answer: LaReSN2